No. 1
{
  "formula": "RbZrIn2Br8",
  "functional": "PBE-GGA",
  "state": "optimized geometry",
  "crystal_system": "triclinic",
  "rho_g_cm3": 3.72,
  "magmom_total_mub_per_fu": 0.0,
  "sg": "P-1, No. 2",
  "n_ef_per_ev_cell": 4.8,
  "total_energy_ev_per_atom": -3.467,
  "cell": [[7.281, 0.085, -0.002], [0.122, 6.823, 0.004], [0.010, 0.026, 9.399]],
  "species": ["Br", "Br", "Br", "Br", "Br", "Br", "Br", "Br", "Rb", "Zr", "In", "In"],
  "fractional_positions": [[0.629, 0.715, 0.500], [0.371, 0.285, 0.500], [0.701, 0.788, 0.000], [0.299, 0.212, 0.000], [0.855, 0.235, 0.199], [0.143, 0.763, 0.200], [0.857, 0.237, 0.800], [0.145, 0.765, 0.801], [0.000, 0.000, 0.500], [0.000, 0.000, 0.000], [0.500, 0.499, 0.745], [0.500, 0.501, 0.255]]
}

=====

No. 2
{
  "formula": "AcLa4Tb2Pm",
  "functional": "PBE-GGA",
  "state": "optimized geometry",
  "crystal_system": "monoclinic",
  "rho_g_cm3": 7.11,
  "magmom_total_mub_per_fu": 0.0,
  "sg": "C2/m, No. 12",
  "n_ef_per_ev_cell": 14.3,
  "e_form_ev_per_fu": 0.24,
  "cell": [[5.262, 0.000, 0.000], [2.631, 5.833, -0.563], [2.631, -0.159, 9.492]],
  "species": ["La", "La", "La", "La", "Pm", "Ac", "Tb", "Tb"],
  "fractional_positions": [[0.877, 0.876, 0.370], [0.374, 0.375, 0.877], [0.626, 0.625, 0.123], [0.123, 0.124, 0.630], [0.000, 0.000, 0.000], [0.500, 0.500, 0.500], [0.256, 0.244, 0.245], [0.744, 0.756, 0.755]]
}

=====

No. 3
{
  "formula": "LaSc2Sb2",
  "functional": "PBE-GGA",
  "state": "optimized geometry",
  "crystal_system": "tetragonal",
  "rho_g_cm3": 5.73,
  "magmom_total_mub_per_fu": 0.9,
  "sg": "I4/mmm, No. 139",
  "n_ef_per_ev_cell": 4.4,
  "relative_energy_mev_per_atom": 0,
  "cell": [[-0.893, 4.237, -0.921], [-2.610, -1.276, -3.340], [-7.215, 1.274, 2.217]],
  "species": ["Sb", "Sb", "Sc", "Sc", "La"],
  "fractional_positions": [[0.387, 0.387, 0.226], [0.613, 0.613, 0.774], [0.750, 0.250, 0.500], [0.250, 0.750, 0.500], [0.000, 0.000, 0.000]]
}

=====

No. 4
{
  "formula": "MnGaPd6",
  "functional": "PBE-GGA",
  "state": "optimized geometry",
  "crystal_system": "monoclinic",
  "rho_g_cm3": 9.30,
  "magmom_total_mub_per_fu": 4.4,
  "sg": "C2/m, No. 12",
  "n_ef_per_ev_cell": 5.0,
  "e_form_ev_per_fu": -0.82,
  "relative_energy_mev_per_atom": 237,
  "cell": [[0.025, -1.863, 4.254], [1.222, -4.471, -0.291], [6.858, -0.452, 2.065]],
  "species": ["Mn", "Pd", "Pd", "Pd", "Pd", "Pd", "Pd", "Ga"],
  "fractional_positions": [[0.500, 0.500, 0.500], [0.650, 0.650, 0.064], [0.066, 0.553, 0.300], [0.553, 0.066, 0.300], [0.934, 0.447, 0.700], [0.350, 0.350, 0.936], [0.447, 0.934, 0.700], [0.000, 0.000, 0.000]]
}

=====

Repeat the third record exactly.
{
  "formula": "LaSc2Sb2",
  "functional": "PBE-GGA",
  "state": "optimized geometry",
  "crystal_system": "tetragonal",
  "rho_g_cm3": 5.73,
  "magmom_total_mub_per_fu": 0.9,
  "sg": "I4/mmm, No. 139",
  "n_ef_per_ev_cell": 4.4,
  "relative_energy_mev_per_atom": 0,
  "cell": [[-0.893, 4.237, -0.921], [-2.610, -1.276, -3.340], [-7.215, 1.274, 2.217]],
  "species": ["Sb", "Sb", "Sc", "Sc", "La"],
  "fractional_positions": [[0.387, 0.387, 0.226], [0.613, 0.613, 0.774], [0.750, 0.250, 0.500], [0.250, 0.750, 0.500], [0.000, 0.000, 0.000]]
}